This record from Alexandria via LeMat-Bulk describes an optimized crystal structure of FeAsPS2. The functional is PBE.

## Properties
Energy relative to the lowest polymorph listed for this composition, meV per atom: 65
D(E_F), states/eV per cell: 4.0
Total magnetic moment, μB per cell: 0.00
Uncorrected formation energy, eV/atom: 0.61

Lattice parameters (Å, degrees): 4.159 4.159 5.190 90.00 90.00 90.00
Space group P4/mmm (No. 123)
Unique sites:
Fe (0.000, 0.000, 0.000) x1
As (0.000, 0.000, 0.500) x1
P (0.500, 0.500, 0.500) x1
S (0.000, 0.500, 0.000) x2


This record from Alexandria via LeMat-Bulk describes an optimized crystal structure of LaCe6Ir3. The functional is PBE.

## Properties
D(E_F), states/eV per cell: 111.4
Total magnetic moment, μB per cell: 14.44
Energy relative to the elements, eV per formula unit: -4.54

Lattice parameters (Å, degrees): 11.254 13.069 7.270 90.00 90.00 90.00
Space group Cmc2_1 (No. 36)
Unique sites:
La (0.000, 0.182, 0.000) x4
Ce (0.000, 0.274, 0.511) x4
Ce (0.000, 0.469, 0.172) x4
Ce (0.166, 0.049, 0.646) x8
Ce (0.234, 0.316, 0.811) x8
Ir (0.000, 0.080, 0.347) x4
Ir (0.193, 0.402, 0.459) x8


This record from Alexandria via LeMat-Bulk describes an optimized crystal structure of CsAcH2. The functional is PBE.

## Properties
Energy relative to the lowest polymorph listed for this composition, meV per atom: 0
D(E_F), states/eV per cell: 8.2
Total magnetic moment, μB per cell: 2.32

Lattice parameters (Å, degrees): 4.1034 4.1034 21.9450 90.00 90.00 120.00
Space group R-3m (No. 166, hexagonal axes)
Unique sites:
Cs (0.0000, 0.0000, 0.0000) x3
Ac (0.0000, 0.0000, 0.5000) x3
H (0.0000, 0.0000, 0.2154) x6


This record from Alexandria via LeMat-Bulk describes an optimized crystal structure of Sm8Tl2Ga. The functional is PBE.

## Properties
D(E_F), states/eV per cell: 24.7
Total magnetic moment, μB per cell: 0.00
Energy relative to the elements, eV per formula unit: -2.32

Lattice parameters (Å, degrees): 19.239 5.271 6.875 90.00 105.16 90.00
Space group C2/m (No. 12)
Unique sites:
Sm (0.012, 0.000, 0.273) x4
Sm (0.091, 0.500, 0.964) x4
Sm (0.154, 0.500, 0.488) x4
Sm (0.208, 0.000, 0.815) x4
Tl (0.179, 0.000, 0.249) x4
Ga (0.000, 0.500, 0.500) x2


This record from Alexandria via LeMat-Bulk describes an optimized crystal structure of HgOs2Pt. The functional is PBE.

## Properties
D(E_F), states/eV per cell: 2.8
Total magnetic moment, μB per cell: 0.00
Energy relative to the elements, eV per formula unit: 1.63

Lattice parameters (Å, degrees): 2.818 3.827 6.069 90.00 90.00 90.00
Space group Pmm2 (No. 25)
Unique sites:
Hg (0.000, 0.000, 0.000) x1
Os (0.000, 0.000, 0.476) x1
Os (0.500, 0.500, 0.294) x1
Pt (0.500, 0.500, 0.736) x1


This record from Alexandria via LeMat-Bulk describes an optimized crystal structure of SrAc3Pd. The functional is PBE.

## Properties
Energy relative to the lowest polymorph listed for this composition, meV per atom: 0
D(E_F), states/eV per cell: 13.7
Total magnetic moment, μB per cell: 1.41
Energy relative to the elements, eV per formula unit: -1.17

Lattice parameters (Å, degrees): 8.4673 8.4673 6.8898 90.00 90.00 120.00
Space group P6_3/mmc (No. 194)
Unique sites:
Sr (0.3333, 0.6667, 0.2500) x2
Ac (0.1717, 0.3435, 0.7500) x6
Pd (0.0000, 0.0000, 0.0000) x2


This record from Alexandria via LeMat-Bulk describes an optimized crystal structure of ErTh2Co2. The functional is PBE.

## Properties
Energy relative to the lowest polymorph listed for this composition, meV per atom: 0
D(E_F), states/eV per cell: 9.5
Total magnetic moment, μB per cell: 0.00
Energy relative to the elements, eV per formula unit: -1.24

Lattice parameters (Å, degrees): 7.638 7.638 3.744 90.00 90.00 90.00
Space group P4/mbm (No. 127)
Unique sites:
Er (0.000, 0.000, 0.000) x2
Th (0.164, 0.336, 0.500) x4
Co (0.130, 0.630, 0.000) x4


This record from Alexandria via LeMat-Bulk describes an optimized crystal structure of Cu2Se. The functional is PBE.

## Properties
D(E_F), states/eV per cell: 0.7
Total magnetic moment, μB per cell: 0.00
Uncorrected formation energy, eV/atom: -0.01

Lattice parameters (Å, degrees): 3.922 3.922 5.953 90.00 90.00 90.00
Space group P4/nmm (No. 129, origin choice 2)
Unique sites:
Cu (0.250, 0.250, 0.207) x2
Cu (0.250, 0.750, 0.500) x2
Se (0.250, 0.250, 0.786) x2


This record from Alexandria via LeMat-Bulk describes an optimized crystal structure of Th6TeIr3Ru2. The functional is PBE.

## Properties
D(E_F), states/eV per cell: 12.0
Total magnetic moment, μB per cell: 0.00
Uncorrected formation energy, eV/atom: -0.76

Lattice parameters (Å, degrees): 18.010 4.130 8.558 90.00 101.83 90.00
Space group C2/m (No. 12)
Unique sites:
Th (0.011, 0.000, 0.282) x4
Th (0.168, 0.500, 0.590) x4
Th (0.182, 0.500, 0.103) x4
Te (0.000, 0.500, 0.000) x2
Ir (0.000, 0.500, 0.500) x2
Ir (0.158, 0.000, 0.838) x4
Ru (0.169, 0.000, 0.339) x4


This record from Alexandria via LeMat-Bulk describes an optimized crystal structure of Ni3PtPb. The functional is PBE.

## Properties
Energy relative to the lowest polymorph listed for this composition, meV per atom: 0
D(E_F), states/eV per cell: 7.4
Total magnetic moment, μB per cell: 2.78
Energy relative to the elements, eV per formula unit: 4.08

Lattice parameters (Å, degrees): 4.655 4.655 4.655 90.00 90.00 90.00
Space group Pm-3m (No. 221)
Unique sites:
Ni (0.000, 0.000, 0.500) x3
Pt (0.000, 0.000, 0.000) x1
Pb (0.500, 0.500, 0.500) x1


This record from Alexandria via LeMat-Bulk describes an optimized crystal structure of Pm2Cu3Sn4. The functional is PBE.

## Properties
D(E_F), states/eV per cell: 14.8
Total magnetic moment, μB per cell: 0.00
Energy relative to the elements, eV per formula unit: -3.61

Lattice parameters (Å, degrees): 6.224 15.630 8.029 90.00 90.00 90.00
Space group Cmce (No. 64)
Unique sites:
Pm (0.000, 0.113, 0.096) x8
Cu (0.000, 0.000, 0.500) x4
Cu (0.250, 0.227, 0.750) x8
Sn (0.000, 0.182, 0.477) x8
Sn (0.250, 0.056, 0.750) x8


This record from Alexandria via LeMat-Bulk describes an optimized crystal structure of LaTb6Tm5. The functional is PBE.

## Properties
D(E_F), states/eV per cell: 32.7
Total magnetic moment, μB per cell: 0.00
Energy relative to the elements, eV per formula unit: 0.30

Lattice parameters (Å, degrees): 6.137 10.650 11.756 90.00 100.08 90.00
Space group C2/m (No. 12)
Unique sites:
La (0.000, 0.000, 0.000) x2
Tb (0.249, 0.332, 0.747) x8
Tb (0.249, 0.500, 0.253) x4
Tm (0.000, 0.167, 0.500) x4
Tm (0.000, 0.333, 0.000) x4
Tm (0.000, 0.500, 0.500) x2


Which value of D(E_F) does entry 3 give? 8.2 states/eV per cell